DFT (GGA-PBE) results for an optimized crystal structure of HfAsNF2.

Calculated values
Uncorrected energy (eV/atom): -6.73
Magnetization (μB per formula unit): 1.05
Excess energy over the best structure of this formula in the dataset (meV per atom): 0
Uncorrected formation energy (eV/f.u.): -6.99
Crystal system: tetragonal

Unit cell a=4.1145 b=4.1145 c=4.3353 alpha=90.00 beta=90.00 gamma=90.00
Last column: nearest neighbours and their distance in Å.
Space group P4/mmm (No. 123)
Symmetry-distinct sites (fractional):
Hf: 0.0000 0.0000 0.0000 (multiplicity 1)  4 F 2.06, 2 N 2.17
As: 0.5000 0.5000 0.5000 (multiplicity 1)  4 N 2.91, 8 F 2.99
N: 0.0000 0.0000 0.5000 (multiplicity 1)  2 Hf 2.17
F: 0.0000 0.5000 0.0000 (multiplicity 2)  2 Hf 2.06